The following is a DFT calculation (GGA-PBE) of a relaxed Ta2TeMo crystal.

Formation energy without anion corrections   0.71 eV/atom

Cell and atoms, written as CIF:
```
data_Ta2TeMo
_chemical_formula_sum 'Ta8 Te4 Mo4'
_symmetry_space_group_name_H-M 'I -4 2 d'
_symmetry_Int_Tables_number 122
_symmetry_space_group_name_Hall 'I -4 2bw'
_cell_length_a 4.046
_cell_length_b 4.046
_cell_length_c 19.597
_cell_angle_alpha 90.00
_cell_angle_beta 90.00
_cell_angle_gamma 90.00
loop_
_atom_site_label
_atom_site_fract_x
_atom_site_fract_y
_atom_site_fract_z
Ta1 0.247 0.250 0.125
Te1 0.000 0.000 0.000
Mo1 0.000 0.000 0.500
```

The following is a DFT calculation (GGA-PBE) of a relaxed TaTeMo crystal.

Relative energy among the computed polymorphs   0.2311 eV/atom
Formation energy without anion corrections   0.44 eV/atom

Cell and atoms, written as CIF:
```
data_TaTeMo
_chemical_formula_sum 'Ta4 Te4 Mo4'
_symmetry_space_group_name_H-M 'F m m 2'
_symmetry_Int_Tables_number 42
_symmetry_space_group_name_Hall 'F 2 -2'
_cell_length_a 3.476
_cell_length_b 5.175
_cell_length_c 13.420
_cell_angle_alpha 90.00
_cell_angle_beta 90.00
_cell_angle_gamma 90.00
loop_
_atom_site_label
_atom_site_fract_x
_atom_site_fract_y
_atom_site_fract_z
Ta1 0.000 0.000 0.000
Te1 0.000 0.000 0.321
Mo1 0.000 0.000 0.641
```

Here are the calculated calculated volume numbers, same order: 20.0; 20.1 (Å³ per atom).